*1*
VASP calculation (PBE-GGA) on a relaxed structure of Al2ZnTe.

Unit cell a=2.9966 b=3.7770 c=7.2778 alpha=90.00 beta=90.00 gamma=90.00
Positions (direct):
Al  0.0000  0.0000  0.2018
Al  0.0000  0.0000  0.7982
Zn  0.5000  0.5000  0.0000
Te  0.5000  0.5000  0.5000



*2*
VASP calculation (PBE-GGA) on a relaxed structure of Al2ZnTe.

Unit cell a=2.9691 b=3.7626 c=7.4535 alpha=90.00 beta=90.02 gamma=90.00
Positions (direct):
Al  0.0000  0.0000  0.0000
Al  0.5003  0.5000  0.2129
Zn  0.4993  0.5000  0.8074
Te  0.5012  0.0000  0.5029



*3*
VASP calculation (PBE-GGA) on a relaxed structure of Al2ZnTe.

Unit cell a=3.7659 b=4.6345 c=4.7679 alpha=90.00 beta=90.00 gamma=90.00
Positions (direct):
Al  0.0000  0.0000  0.0000
Al  0.5000  0.5000  0.0000
Zn  0.0000  0.5000  0.5000
Te  0.5000  0.0000  0.5000



*4*
VASP calculation (PBE-GGA) on a relaxed structure of Al2ZnTe.

Unit cell a=4.5968 b=4.5968 c=5.9350 alpha=109.13 beta=109.13 gamma=50.63
Positions (direct):
Al  0.0000  0.0000  0.0000
Al  0.7426  0.7426  0.1784
Zn  0.2491  0.2491  0.8423
Te  0.4168  0.4168  0.5289



Of the structures shown above, *3* is the least stable.